1.
{
  "formula": "K2ScCd",
  "functional": "PBE-GGA",
  "state": "optimized geometry",
  "lattice": [[1.969, -2.946, 0.000], [1.969, 2.946, 0.000], [0.000, 0.000, 12.743]],
  "species": ["K", "K", "Sc", "Cd"],
  "fractional_positions": [[0.000, 0.000, 0.237], [0.000, 0.000, 0.763], [0.500, 0.500, 0.500], [0.500, 0.500, 0.000]],
  "final_energy_ev_per_cell": -7.80,
  "crystal_system": "orthorhombic",
  "e_form_ev_per_atom": 0.410,
  "spacegroup": "No. 65"
}



2.
{
  "formula": "URe2B",
  "functional": "PBE-GGA",
  "state": "optimized geometry",
  "lattice": [[1.482, 0.855, 7.963], [-1.482, 0.855, 7.963], [0.000, -1.711, 7.963]],
  "species": ["U", "Re", "Re", "B"],
  "fractional_positions": [[0.000, 0.000, 0.000], [0.109, 0.109, 0.109], [0.891, 0.891, 0.891], [0.500, 0.500, 0.500]],
  "final_energy_ev_per_cell": -41.16,
  "crystal_system": "trigonal",
  "e_form_ev_per_atom": 0.425,
  "de_polymorph_kj_per_mol_atoms": 50.7,
  "spacegroup": "No. 166"
}



3.
{
  "formula": "ZnInSnHg",
  "functional": "PBE-GGA",
  "state": "optimized geometry",
  "lattice": [[0.000, 3.652, 3.652], [3.652, 0.000, 3.652], [3.652, 3.652, 0.000]],
  "species": ["Zn", "In", "Sn", "Hg"],
  "fractional_positions": [[0.000, 0.000, 0.000], [0.750, 0.750, 0.750], [0.250, 0.250, 0.250], [0.500, 0.500, 0.500]],
  "final_energy_ev_per_cell": -7.69,
  "crystal_system": "cubic",
  "e_form_ev_per_atom": 0.156,
  "spacegroup": "No. 216"
}



4.
{
  "formula": "Li2AgBiAu",
  "functional": "PBE-GGA",
  "state": "optimized geometry",
  "lattice": [[5.456, 0.000, 0.000], [0.000, 7.710, 0.000], [0.000, 0.000, 5.007]],
  "species": ["Li", "Li", "Li", "Li", "Ag", "Ag", "Bi", "Bi", "Au", "Au"],
  "fractional_positions": [[0.250, 0.210, 0.248], [0.250, 0.790, 0.248], [0.750, 0.210, 0.752], [0.750, 0.790, 0.752], [0.000, 0.500, 0.000], [0.500, 0.500, 0.000], [0.250, 0.000, 0.752], [0.750, 0.000, 0.248], [0.250, 0.500, 0.511], [0.750, 0.500, 0.489]],
  "final_energy_ev_per_cell": -30.14,
  "crystal_system": "orthorhombic",
  "e_form_ev_per_atom": -0.247,
  "spacegroup": "No. 51"
}



5.
{
  "formula": "Ba2ZnHgGe",
  "functional": "PBE-GGA",
  "state": "optimized geometry",
  "lattice": [[6.530, 0.000, 0.000], [0.000, 6.530, 0.000], [0.000, 0.000, 5.039]],
  "species": ["Ba", "Ba", "Zn", "Hg", "Ge"],
  "fractional_positions": [[0.000, 0.500, 0.000], [0.500, 0.000, 0.000], [0.000, 0.000, 0.500], [0.500, 0.500, 0.000], [0.500, 0.500, 0.500]],
  "final_energy_ev_per_cell": -9.83,
  "crystal_system": "tetragonal",
  "e_form_ev_per_atom": 0.042,
  "spacegroup": "No. 123"
}



6.
{
  "formula": "MgCrW2",
  "functional": "PBE-GGA",
  "state": "optimized geometry",
  "lattice": [[-1.548, 2.244, 4.457], [1.548, -2.244, 4.457], [1.548, 2.244, -4.457]],
  "species": ["Mg", "Cr", "W", "W"],
  "fractional_positions": [[0.000, 0.000, 0.000], [0.500, 0.500, 0.000], [0.272, 0.772, 0.500], [0.728, 0.228, 0.500]],
  "final_energy_ev_per_cell": -35.70,
  "crystal_system": "orthorhombic",
  "e_form_ev_per_atom": 0.355,
  "de_polymorph_kj_per_mol_atoms": 5.6,
  "spacegroup": "No. 71"
}



7.
{
  "formula": "Th6P2RhC3",
  "functional": "PBE-GGA",
  "state": "optimized geometry",
  "lattice": [[8.694, -1.948, 0.000], [8.694, 1.948, 0.000], [-2.084, 0.000, 7.815]],
  "species": ["Th", "Th", "Th", "Th", "Th", "Th", "P", "P", "Rh", "C", "C", "C"],
  "fractional_positions": [[0.008, 0.008, 0.234], [0.328, 0.328, 0.434], [0.337, 0.337, 0.901], [0.663, 0.663, 0.099], [0.672, 0.672, 0.566], [0.992, 0.992, 0.766], [0.166, 0.166, 0.833], [0.834, 0.834, 0.167], [0.500, 0.500, 0.500], [0.170, 0.170, 0.333], [0.500, 0.500, 0.000], [0.830, 0.830, 0.667]],
  "final_energy_ev_per_cell": -99.33,
  "crystal_system": "monoclinic",
  "e_form_ev_per_atom": -0.748,
  "spacegroup": "No. 12"
}



8.
{
  "formula": "NaScFe3",
  "functional": "PBE-GGA",
  "state": "optimized geometry",
  "lattice": [[4.639, 0.000, 0.000], [0.000, 4.639, 0.000], [0.000, 0.000, 4.639]],
  "species": ["Na", "Sc", "Fe", "Fe", "Fe"],
  "fractional_positions": [[0.000, 0.000, 0.000], [0.500, 0.500, 0.500], [0.000, 0.500, 0.500], [0.500, 0.000, 0.500], [0.500, 0.500, 0.000]],
  "final_energy_ev_per_cell": -26.40,
  "crystal_system": "cubic",
  "e_form_ev_per_atom": 1.329,
  "de_polymorph_kj_per_mol_atoms": 0.0,
  "spacegroup": "No. 221"
}



9.
{
  "formula": "FeCoSi2Sn",
  "functional": "PBE-GGA",
  "state": "optimized geometry",
  "lattice": [[4.967, 0.000, 0.000], [0.000, 4.967, 0.000], [0.000, 0.000, 4.574]],
  "species": ["Fe", "Co", "Si", "Si", "Sn"],
  "fractional_positions": [[0.000, 0.000, 0.000], [0.500, 0.500, 0.000], [0.000, 0.500, 0.500], [0.500, 0.000, 0.500], [0.500, 0.500, 0.500]],
  "final_energy_ev_per_cell": -21.55,
  "crystal_system": "tetragonal",
  "spacegroup": "No. 123"
}



10.
{
  "formula": "SbOs2RhW",
  "functional": "PBE-GGA",
  "state": "optimized geometry",
  "lattice": [[4.705, 0.000, 0.000], [0.000, 4.705, 0.000], [0.000, 0.000, 5.060]],
  "species": ["Sb", "Os", "Os", "Rh", "W"],
  "fractional_positions": [[0.000, 0.000, 0.000], [0.000, 0.500, 0.500], [0.500, 0.000, 0.500], [0.500, 0.500, 0.000], [0.000, 0.000, 0.500]],
  "final_energy_ev_per_cell": -36.62,
  "crystal_system": "tetragonal",
  "spacegroup": "No. 123"
}